Compound: Pr5SmHo5
Source: Alexandria
Functional: PBE
Structure: relaxed

Lattice parameters (Å, degrees): 6.154 6.154 11.851 90.00 90.00 120.00
Element x y z (fractional)
Pr1 0.333 0.667 0.317
Pr2 0.667 0.333 0.154
Pr3 0.333 0.667 0.683
Pr4 0.000 0.000 0.000
Pr5 0.667 0.333 0.846
Sm1 0.333 0.667 0.000
Ho1 0.333 0.166 0.500
Ho2 0.834 0.166 0.500
Ho3 0.834 0.667 0.500
Ho4 0.000 0.000 0.734
Ho5 0.000 0.000 0.266

Energy relative to the elements (kJ/mol of atoms): 27
Volume (Å³ per atom): 35.339
Total magnetic moment (μB/atom): 0.000
Density (g/cm³): 7.17
VASP energy (eV per cell): -48.5